Record 1
# LiBi2Te, relaxed, DFT PBE-GGA
data_LiBi2Te
_symmetry_space_group_name_H-M 'I -4 2 d'
_symmetry_Int_Tables_number 122
_symmetry_space_group_name_Hall 'I -4 2bw'
_cell_length_a 4.536
_cell_length_b 4.536
_cell_length_c 23.889
_cell_angle_alpha 90.00
_cell_angle_beta 90.00
_cell_angle_gamma 90.00
loop_
_atom_site_label
_atom_site_fract_x
_atom_site_fract_y
_atom_site_fract_z
Li1 0.000 0.000 0.000
Bi1 0.232 0.250 0.625
Te1 0.000 0.000 0.500
# - Energy: -3.3956 eV per atom
# - N(E_F): 0.485 states/eV/atom


Record 2
# CaAc2Sn4Pt3, relaxed, DFT PBE-GGA
data_CaAc2Sn4Pt3
_symmetry_space_group_name_H-M 'P -4 m 2'
_symmetry_Int_Tables_number 115
_cell_length_a 4.614
_cell_length_b 4.614
_cell_length_c 12.063
_cell_angle_alpha 90.00
_cell_angle_beta 90.00
_cell_angle_gamma 90.00
loop_
_symmetry_equiv_pos_as_xyz
'x,y,z'
'y,-x,-z'
'-x,-y,z'
'-y,x,-z'
'-x,y,z'
'-y,-x,-z'
'x,-y,z'
'y,x,-z'
loop_
_atom_site_label
_atom_site_fract_x
_atom_site_fract_y
_atom_site_fract_z
Ca1 0.000 0.000 0.000
Ac1 0.000 0.500 0.735
Sn1 0.000 0.000 0.500
Sn2 0.000 0.500 0.156
Sn3 0.500 0.500 0.500
Pt1 0.000 0.500 0.378
Pt2 0.500 0.500 0.000
# - DFT formation energy: -0.816 eV/atom
# - N(E_F): 0.557 states/eV/atom